[1]
The following is a DFT calculation (PBE) of a relaxed structure of Ac3VN4.

a b c (Å): 7.7265 7.2859 5.7548
angles (deg): 90.00 90.00 90.00
Space group Pmn2_1 (No. 31)
Symmetry-distinct sites (fractional):
Ac1 0.0000 0.1290 0.0000 [2 per cell]
Ac2 0.2474 0.3514 0.5049 [4 per cell]
V1 0.0000 0.8340 0.4723 [2 per cell]
N1 0.0000 0.0898 0.5261 [2 per cell]
N2 0.0000 0.8169 0.1542 [2 per cell]
N3 0.2011 0.7137 0.5639 [4 per cell]

- M_tot (μB/cell) = 0.23
- E_form (uncorrected) (eV per formula unit) = -8.2
- final energy (eV/atom) = -7.867



[2]
The following is a DFT calculation (PBE) of a relaxed structure of Ce3Pu3In.

a b c (Å): 7.4768 7.4768 7.4768
angles (deg): 90.00 90.00 90.00
Space group Pm-3n (No. 223)
Symmetry-distinct sites (fractional):
Ce1 0.0000 0.2500 0.5000 [6 per cell]
Pu1 0.0000 0.5000 0.2500 [6 per cell]
In1 0.0000 0.0000 0.0000 [2 per cell]

- M_tot (μB/cell) = 35.80
- energy of formation from the pure elements (eV per atom) = 0.878
- final energy (eV/atom) = -8.199



[3]
The following is a DFT calculation (PBE) of a relaxed structure of Al2GaTc2.

a b c (Å): 6.7134 6.7134 3.2460
angles (deg): 90.00 90.00 90.00
Space group P4/mbm (No. 127)
Symmetry-distinct sites (fractional):
Al1 0.1312 0.3688 0.0000 [4 per cell]
Ga1 0.0000 0.0000 0.0000 [2 per cell]
Tc1 0.1683 0.6683 0.5000 [4 per cell]

- M_tot (μB/cell) = 0.00
- energy of formation from the pure elements (eV per atom) = -0.144
- final energy (eV/atom) = -6.393



[4]
The following is a DFT calculation (PBE) of a relaxed structure of KSrF.

a b c (Å): 4.2451 4.2451 8.1920
angles (deg): 90.00 90.00 120.00
Space group P-6m2 (No. 187)
Symmetry-distinct sites (fractional):
K1 0.0000 0.0000 0.0000 [1 per cell]
Sr1 0.6667 0.3333 0.5000 [1 per cell]
F1 0.3333 0.6667 0.5000 [1 per cell]

- M_tot (μB/cell) = 0.00
- E_form (uncorrected) (eV per formula unit) = -5.3
- final energy (eV/atom) = -3.318



[5]
The following is a DFT calculation (PBE) of a relaxed structure of Zr2ScPt.

a b c (Å): 3.3549 4.3339 5.8865
angles (deg): 90.00 102.02 90.00
Space group Pm (No. 6)
Symmetry-distinct sites (fractional):
Zr1 0.0000 0.0000 0.0000 [1 per cell]
Zr2 0.4146 0.5000 0.7294 [1 per cell]
Sc1 0.8396 0.0000 0.4645 [1 per cell]
Pt1 0.4288 0.5000 0.2359 [1 per cell]

- M_tot (μB/cell) = 0.00
- energy of formation from the pure elements (eV per atom) = -0.434
- final energy (eV/atom) = -7.801



[6]
The following is a DFT calculation (PBE) of a relaxed structure of NdHoNiIr.

a b c (Å): 6.9244 6.9244 6.9244
angles (deg): 90.00 90.00 90.00
Space group F-43m (No. 216)
Symmetry-distinct sites (fractional):
Nd1 0.0000 0.0000 0.0000 [4 per cell]
Ho1 0.0000 0.0000 0.5000 [4 per cell]
Ni1 0.2500 0.2500 0.2500 [4 per cell]
Ir1 0.2500 0.2500 0.7500 [4 per cell]

- M_tot (μB/cell) = 0.00
- energy of formation from the pure elements (eV per atom) = -0.531
- final energy (eV/atom) = -6.528



[7]
The following is a DFT calculation (PBE) of a relaxed structure of PuHgH.

a b c (Å): 3.7315 3.7315 4.9734
angles (deg): 90.00 90.00 120.00
Space group P-6m2 (No. 187)
Symmetry-distinct sites (fractional):
Pu1 0.0000 0.0000 0.0000 [1 per cell]
Hg1 0.6667 0.3333 0.5000 [1 per cell]
H1 0.3333 0.6667 0.0000 [1 per cell]

- M_tot (μB/cell) = 5.87
- final energy (eV/atom) = -6.092



[8]
The following is a DFT calculation (PBE) of a relaxed structure of Y2HRu.

a b c (Å): 6.5836 6.5836 6.9976
angles (deg): 90.00 90.00 90.00
Space group I-42d (No. 122)
Symmetry-distinct sites (fractional):
Y1 0.1853 0.7500 0.1250 [8 per cell]
H1 0.0000 0.0000 0.0000 [4 per cell]
Ru1 0.0000 0.0000 0.5000 [4 per cell]

- M_tot (μB/cell) = 0.00
- final energy (eV/atom) = -6.555



[9]
The following is a DFT calculation (PBE) of a relaxed structure of La3ZnN.

a b c (Å): 7.0696 12.4826 6.7471
angles (deg): 90.00 107.31 90.00
Space group C2/c (No. 15)
Symmetry-distinct sites (fractional):
La1 0.0000 0.2399 0.2500 [4 per cell]
La2 0.2310 0.0459 0.0080 [8 per cell]
Zn1 0.0000 0.2472 0.7500 [4 per cell]
N1 0.0000 0.0536 0.2500 [4 per cell]

- M_tot (μB/cell) = 0.00
- E_form (uncorrected) (eV per formula unit) = -3.0
- final energy (eV/atom) = -5.479



no.,calculated volume (Å³/atom)
1,20.248
2,29.855
3,14.630
4,42.617
5,20.928
6,20.751
7,19.991
8,18.956
9,28.422